The following is a DFT calculation (PBE) of a geometry-optimized CeCu3Br9 structure.

Output
size of the total moment: 1.41 μB per formula unit
V: 472 Å³/f.u.
total DFT energy (no corrections): -85.755 eV per cell
density of states at the Fermi level: 23.54 states/eV per cell

Cell: 9.113 10.740 11.663 Å, 74.25 67.00 64.90°
Last column: magnetic moment on the atom in μB.
Sites, in units of the cell vectors:
Ce  0.023  0.495  0.999  0.04
Ce  0.483  0.995  0.499  0.04
Cu  0.815  0.544  0.661  0.23
Cu  0.980  0.044  0.161  0.23
Cu  0.980  0.944  0.846  0.20
Cu  0.231  0.444  0.346  0.20
Cu  0.600  0.245  0.724  0.28
Cu  0.430  0.745  0.224  0.28
Br  0.339  0.202  0.319  0.02
Br  0.139  0.702  0.819  0.02
Br  0.365  0.316  0.925  0.04
Br  0.394  0.816  0.425  0.04
Br  0.172  0.067  0.693  0.01
Br  0.068  0.567  0.193  0.01
Br  0.706  0.715  0.054  0.05
Br  0.525  0.215  0.554  0.05
Br  0.829  0.917  0.343  0.03
Br  0.910  0.417  0.843  0.03
Br  0.613  0.785  0.681  0.04
Br  0.922  0.285  0.181  0.04
Br  0.472  0.508  0.292  0.12
Br  0.727  0.008  0.792  0.12
Br  0.650  0.452  0.618  0.08
Br  0.281  0.952  0.118  0.08
Br  0.834  0.068  0.022  0.10
Br  0.076  0.568  0.522  0.10


The following is a DFT calculation (PBE) of a geometry-optimized LiCdPC2 structure.

Output
size of the total moment: 0.00 μB per formula unit
V: 70 Å³/f.u.
total DFT energy (no corrections): -19.691 eV per cell
formation energy from the elements: 1.399 eV/atom
density of states at the Fermi level: 1.65 states/eV per cell

Cell: 3.606 5.354 3.606 Å, 90.00 90.00 90.00°
Sites, in units of the cell vectors:
P  0.000  0.000  0.000
C  0.000  0.000  0.500
C  0.500  0.000  0.000
Li  0.000  0.500  0.000
Cd  0.500  0.500  0.500


The following is a DFT calculation (PBE) of a geometry-optimized Pu6As5S structure.

Output
size of the total moment: 30.90 μB per formula unit
V: 297 Å³/f.u.
total DFT energy (no corrections): -127.180 eV per cell
density of states at the Fermi level: 57.23 states/eV per cell

Cell: 7.136 7.138 7.138 Å, 60.00 80.40 70.52°
Last column: magnetic moment on the atom in μB.
Sites, in units of the cell vectors:
Pu  0.753  0.082  0.328  5.08
Pu  0.247  0.589  0.328  5.08
Pu  0.248  0.245  0.000  5.09
Pu  0.752  0.755  0.000  5.09
Pu  0.753  0.411  0.672  5.08
Pu  0.247  0.918  0.672  5.08
As  0.500  0.169  0.663  -0.16
As  0.000  0.334  0.333  -0.15
As  0.500  0.500  0.000  -0.16
As  0.000  0.666  0.667  -0.15
As  0.500  0.831  0.337  -0.16
S  0.000  0.000  0.000  -0.13


The following is a DFT calculation (PBE) of a geometry-optimized HfVB3 structure.

Output
size of the total moment: 0.00 μB per formula unit
E above lowest polymorph: 1.280 eV per atom
V: 59 Å³/f.u.
total DFT energy (no corrections): -37.073 eV per cell
formation energy from the elements: 0.406 eV/atom
density of states at the Fermi level: 3.31 states/eV per cell

Cell: 3.882 3.882 3.882 Å, 90.00 90.00 90.00°
Sites, in units of the cell vectors:
B  0.000  0.500  0.000
B  0.000  0.000  0.500
B  0.500  0.000  0.000
Hf  0.500  0.500  0.500
V  0.000  0.000  0.000


The following is a DFT calculation (PBE) of a geometry-optimized CuTeAu2 structure.

Output
size of the total moment: 0.00 μB per formula unit
V: 86 Å³/f.u.
total DFT energy (no corrections): -13.425 eV per cell
density of states at the Fermi level: 1.28 states/eV per cell

Cell: 4.819 4.819 6.291 Å, 81.30 81.30 36.77°
Sites, in units of the cell vectors:
Au  0.973  0.973  0.067
Au  0.216  0.216  0.283
Cu  0.485  0.485  0.427
Te  0.825  0.825  0.724


The following is a DFT calculation (PBE) of a geometry-optimized CaZrAs structure.

Output
size of the total moment: 0.04 μB per formula unit
E above lowest polymorph: 0.231 eV per atom
V: 76 Å³/f.u.
total DFT energy (no corrections): -69.093 eV per cell
formation energy from the elements: -0.691 eV/atom
density of states at the Fermi level: 10.88 states/eV per cell

Cell: 6.845 3.801 11.851 Å, 90.00 97.65 90.00°
Sites, in units of the cell vectors:
As  0.046  0.000  0.169
As  0.046  0.500  0.669
As  0.422  0.000  0.943
As  0.422  0.500  0.443
Ca  0.734  0.000  0.537
Ca  0.734  0.500  0.037
Ca  0.480  0.000  0.258
Ca  0.480  0.500  0.758
Zr  0.039  0.000  0.826
Zr  0.039  0.500  0.326
Zr  0.209  0.000  0.539
Zr  0.209  0.500  0.039


The following is a DFT calculation (PBE) of a geometry-optimized TlTe2Pb structure.

Output
size of the total moment: 0.00 μB per formula unit
V: 191 Å³/f.u.
total DFT energy (no corrections): -25.821 eV per cell
density of states at the Fermi level: 5.28 states/eV per cell

Cell: 7.333 7.333 8.800 Å, 65.38 65.38 90.00°
Sites, in units of the cell vectors:
Pb  0.000  0.000  0.000
Pb  0.750  0.250  0.500
Tl  0.500  0.500  0.000
Tl  0.250  0.750  0.500
Te  0.619  0.125  0.250
Te  0.131  0.625  0.250
Te  0.375  0.381  0.750
Te  0.875  0.869  0.750


The following is a DFT calculation (PBE) of a geometry-optimized YZr2Pb2 structure.

Output
size of the total moment: 0.00 μB per formula unit
E above lowest polymorph: 0.055 eV per atom
V: 133 Å³/f.u.
total DFT energy (no corrections): -31.828 eV per cell
formation energy from the elements: -0.170 eV/atom
density of states at the Fermi level: 5.31 states/eV per cell

Cell: 4.309 4.309 7.785 Å, 73.93 73.93 90.00°
Sites, in units of the cell vectors:
Pb  0.398  0.398  0.203
Pb  0.602  0.602  0.797
Y  0.000  0.000  0.000
Zr  0.750  0.250  0.500
Zr  0.250  0.750  0.500


The following is a DFT calculation (PBE) of a geometry-optimized LiOsAu structure.

Output
size of the total moment: 0.45 μB per formula unit
E above lowest polymorph: 0.223 eV per atom
V: 46 Å³/f.u.
total DFT energy (no corrections): -15.131 eV per cell
formation energy from the elements: 0.430 eV/atom
density of states at the Fermi level: 3.65 states/eV per cell

Cell: 4.834 4.834 4.834 Å, 148.64 128.53 61.53°
Last column: magnetic moment on the atom in μB.
Sites, in units of the cell vectors:
Au  0.999  0.999  0.000  0.07
Li  0.333  0.333  0.000  0.00
Os  0.668  0.668  0.000  0.35


The following is a DFT calculation (PBE) of a geometry-optimized Rb5Pd2S5 structure.

Output
size of the total moment: 0.00 μB per formula unit
V: 365 Å³/f.u.
total DFT energy (no corrections): -43.823 eV per cell
density of states at the Fermi level: 7.21 states/eV per cell

Cell: 4.426 7.715 11.217 Å, 95.90 90.00 106.67°
Sites, in units of the cell vectors:
Rb  0.500  0.000  0.500
Rb  0.639  0.278  0.094
Rb  0.789  0.577  0.366
Rb  0.211  0.423  0.634
Rb  0.361  0.722  0.906
Pd  0.022  0.043  0.791
Pd  0.978  0.957  0.209
S  0.117  0.234  0.341
S  0.583  0.167  0.785
S  0.417  0.833  0.215
S  0.883  0.766  0.659
S  0.000  0.000  0.000


The following is a DFT calculation (PBE) of a geometry-optimized Lu2BeCo structure.

Output
size of the total moment: 0.00 μB per formula unit
E above lowest polymorph: 0.001 eV per atom
V: 71 Å³/f.u.
total DFT energy (no corrections): -20.336 eV per cell
formation energy from the elements: -0.115 eV/atom
density of states at the Fermi level: 2.38 states/eV per cell

Cell: 4.646 4.646 4.646 Å, 60.00 60.00 60.00°
Sites, in units of the cell vectors:
Be  0.500  0.500  0.500
Lu  0.250  0.250  0.250
Lu  0.750  0.750  0.750
Co  0.000  0.000  0.000


The following is a DFT calculation (PBE) of a geometry-optimized CeNdRh structure.

Output
size of the total moment: 0.00 μB per formula unit
E above lowest polymorph: 0.000 eV per atom
V: 76 Å³/f.u.
total DFT energy (no corrections): -38.983 eV per cell
formation energy from the elements: -0.479 eV/atom
density of states at the Fermi level: 8.70 states/eV per cell

Cell: 4.775 3.938 8.087 Å, 92.48 90.00 90.00°
Sites, in units of the cell vectors:
Ce  0.814  0.414  0.957
Ce  0.314  0.819  0.882
Nd  0.814  0.877  0.554
Nd  0.314  0.356  0.285
Rh  0.814  0.881  0.195
Rh  0.314  0.352  0.644